A plane-wave DFT calculation with GGA-PBE was carried out for a relaxed CaNdCu crystal.

E: -20.99 eV per cell
formation enthalpy at 0 K: 0.1232 eV per atom
DOS(E_F): 5.4 states/eV/cell

abc: 3.881 6.915 8.594
angles: 61.11 76.95 73.70
Positions (direct):
Cu 0.410 0.685 0.495
Cu 0.590 0.315 0.505
Nd 0.833 0.021 0.313
Nd 0.167 0.979 0.687
Ca 0.603 0.660 0.134
Ca 0.397 0.340 0.866